Compound: TcSb6Ir
Source: Alexandria
Functional: PBE
Structure: relaxed

a b c (Å): 8.1606 8.1606 9.4236
angles (deg): 125.03 125.03 70.76
Sites, in units of the cell vectors:
Tc 0.0000 0.5000 0.0000
Tc 0.5000 0.0000 0.0000
Sb 0.1546 0.8442 0.3384
Sb 0.1558 0.8454 0.6616
Sb 0.1835 0.5069 0.8456
Sb 0.3385 0.3385 0.4937
Sb 0.3394 0.3394 0.1831
Sb 0.4931 0.8165 0.1544
Sb 0.5069 0.1835 0.8456
Sb 0.6606 0.6606 0.8169
Sb 0.6615 0.6615 0.5063
Sb 0.8165 0.4931 0.1544
Sb 0.8442 0.1546 0.3384
Sb 0.8454 0.1558 0.6616
Ir 0.0000 0.5000 0.5000
Ir 0.5000 0.0000 0.5000

Computed properties:
* ΔE_f (raw): -0.107 eV per atom
* electronic total energy: -44.82 eV per formula unit